(1)
DFT (PBE-GGA) results for Na5Hf2F13 after structural relaxation.

## Properties
VASP energy: -5.8785 eV per atom
Total magnetization: 0.00 μB per formula unit

a = 6.201 Å, b = 6.201 Å, c = 8.200 Å
α = 96.26°, β = 96.26°, γ = 50.99°
Fractional coordinates of all 20 atoms:
F: 0.692 0.179 0.252
F: 0.574 0.059 0.858
F: 0.000 0.000 0.000
F: 0.308 0.821 0.748
F: 0.941 0.426 0.142
F: 0.179 0.692 0.252
F: 0.426 0.941 0.142
F: 0.635 0.094 0.565
F: 0.365 0.906 0.435
F: 0.059 0.574 0.858
F: 0.821 0.308 0.748
F: 0.094 0.635 0.565
F: 0.906 0.365 0.435
Na: 0.337 0.337 0.071
Na: 0.663 0.663 0.929
Na: 0.778 0.778 0.344
Na: 0.500 0.500 0.500
Na: 0.222 0.222 0.656
Hf: 0.926 0.926 0.754
Hf: 0.074 0.074 0.246

(2)
DFT (PBE-GGA) results for NaHf2ZnF11 after structural relaxation.

## Properties
VASP energy: -6.2660 eV per atom
Total magnetization: 0.00 μB per formula unit

a = 5.526 Å, b = 5.526 Å, c = 7.612 Å
α = 110.99°, β = 110.99°, γ = 72.63°
Fractional coordinates of all 15 atoms:
F: 0.674 0.326 0.000
F: 0.181 0.780 0.691
F: 0.780 0.181 0.691
F: 0.752 0.752 0.343
F: 0.500 0.500 0.500
F: 0.261 0.261 0.102
F: 0.220 0.819 0.309
F: 0.326 0.674 0.000
F: 0.739 0.739 0.898
F: 0.248 0.248 0.657
F: 0.819 0.220 0.309
Hf: 0.504 0.504 0.233
Hf: 0.496 0.496 0.767
Na: 0.000 0.000 0.000
Zn: 0.000 0.000 0.500

(3)
DFT (PBE-GGA) results for HfP2O6F2 after structural relaxation.

## Properties
VASP energy: -7.6732 eV per atom
Total magnetization: 0.00 μB per formula unit

a = 5.433 Å, b = 5.433 Å, c = 5.281 Å
α = 90.00°, β = 90.00°, γ = 120.00°
Fractional coordinates of all 11 atoms:
O: 0.180 0.356 0.221
O: 0.820 0.644 0.779
O: 0.644 0.824 0.221
O: 0.356 0.176 0.779
O: 0.176 0.820 0.221
O: 0.824 0.180 0.779
F: 0.333 0.667 0.591
F: 0.667 0.333 0.409
P: 0.333 0.667 0.295
P: 0.667 0.333 0.705
Hf: 0.000 0.000 0.000

(4)
DFT (PBE-GGA) results for Rb2Hf3OF12 after structural relaxation.

## Properties
VASP energy: -6.9019 eV per atom
Total magnetization: 0.00 μB per formula unit

a = 7.580 Å, b = 7.580 Å, c = 10.483 Å
α = 68.81°, β = 111.20°, γ = 120.00°
Fractional coordinates of all 36 atoms:
Rb: 0.136 0.864 0.408
Rb: 0.000 0.000 0.000
Rb: 0.864 0.136 0.592
Rb: 0.500 0.500 0.500
F: 0.349 0.349 0.000
F: 0.086 0.914 0.771
F: 0.651 0.000 0.000
F: 0.600 0.914 0.771
F: 0.655 0.918 0.393
F: 0.000 0.651 0.000
F: 0.914 0.600 0.229
F: 0.295 0.366 0.225
F: 0.705 0.634 0.775
F: 0.345 0.082 0.607
F: 0.705 0.295 0.775
F: 0.082 0.345 0.393
F: 0.651 0.651 0.000
F: 0.634 0.705 0.225
F: 0.349 0.000 0.000
F: 0.655 0.345 0.393
F: 0.295 0.705 0.225
F: 0.345 0.655 0.607
F: 0.086 0.400 0.771
F: 0.000 0.349 0.000
F: 0.918 0.655 0.607
F: 0.914 0.086 0.229
F: 0.366 0.295 0.775
F: 0.400 0.086 0.229
Hf: 0.969 0.578 0.814
Hf: 0.578 0.969 0.186
Hf: 0.422 0.578 0.814
Hf: 0.031 0.422 0.186
Hf: 0.422 0.031 0.814
Hf: 0.578 0.422 0.186
O: 0.712 0.288 0.137
O: 0.288 0.712 0.863

(5)
DFT (PBE-GGA) results for PrHf3F15 after structural relaxation.

## Properties
VASP energy: -7.1442 eV per atom
Total magnetization: 0.00 μB per formula unit

a = 7.243 Å, b = 7.243 Å, c = 7.243 Å
α = 112.90°, β = 112.90°, γ = 112.90°
Fractional coordinates of all 19 atoms:
Hf: 0.699 0.139 0.139
Hf: 0.139 0.139 0.699
Hf: 0.139 0.699 0.139
F: 0.877 0.665 0.877
F: 0.044 0.377 0.834
F: 0.425 0.769 0.425
F: 0.834 0.377 0.044
F: 0.377 0.834 0.044
F: 0.044 0.834 0.377
F: 0.834 0.044 0.377
F: 0.665 0.877 0.877
F: 0.877 0.877 0.665
F: 0.348 0.088 0.348
F: 0.088 0.348 0.348
F: 0.769 0.425 0.425
F: 0.425 0.425 0.769
F: 0.348 0.348 0.088
F: 0.377 0.044 0.834
Pr: 0.506 0.506 0.506

(6)
DFT (PBE-GGA) results for Rb4HfF after structural relaxation.

## Properties
VASP energy: -2.5614 eV per atom
Total magnetization: 4.52 μB per formula unit

a = 8.610 Å, b = 8.610 Å, c = 8.610 Å
α = 41.88°, β = 41.88°, γ = 41.88°
Fractional coordinates of all 6 atoms:
Hf: 0.000 0.000 0.000
Rb: 0.798 0.798 0.798
Rb: 0.390 0.390 0.390
Rb: 0.610 0.610 0.610
Rb: 0.202 0.202 0.202
F: 0.500 0.500 0.500

> Among the records above, which one has the highest VASP energy?

Rb4HfF

> Which formula does entry 5 have?

PrHf3F15

Please write out number 2 again, unchanged.
DFT (PBE-GGA) results for NaHf2ZnF11 after structural relaxation.

## Properties
VASP energy: -6.2660 eV per atom
Total magnetization: 0.00 μB per formula unit

a = 5.526 Å, b = 5.526 Å, c = 7.612 Å
α = 110.99°, β = 110.99°, γ = 72.63°
Fractional coordinates of all 15 atoms:
F: 0.674 0.326 0.000
F: 0.181 0.780 0.691
F: 0.780 0.181 0.691
F: 0.752 0.752 0.343
F: 0.500 0.500 0.500
F: 0.261 0.261 0.102
F: 0.220 0.819 0.309
F: 0.326 0.674 0.000
F: 0.739 0.739 0.898
F: 0.248 0.248 0.657
F: 0.819 0.220 0.309
Hf: 0.504 0.504 0.233
Hf: 0.496 0.496 0.767
Na: 0.000 0.000 0.000
Zn: 0.000 0.000 0.500